No. 1
Below is SrCu2As after structural relaxation, with properties calculated at the GGA-PBE level.

Lattice parameters (Å, degrees): 4.814 4.814 16.299 90.00 90.00 90.00
Element x y z (fractional)
Sr 0.000 0.250 0.375
Sr 0.000 0.750 0.625
Sr 0.500 0.250 0.125
Sr 0.500 0.750 0.875
Cu 0.000 0.000 0.000
Cu 0.000 0.500 0.000
Cu 0.250 0.250 0.750
Cu 0.250 0.750 0.250
Cu 0.500 0.000 0.500
Cu 0.500 0.500 0.500
Cu 0.750 0.250 0.750
Cu 0.750 0.750 0.250
As 0.000 0.250 0.875
As 0.000 0.750 0.125
As 0.500 0.250 0.625
As 0.500 0.750 0.375

Summary:
Symmetry ... I4_1/amd (141)
ΔH_f (0 K) ... -29.3 kJ/mol of atoms
DOS(E_F) ... 8.7 states/eV per cell
Raw total energy ... -62.95 eV for the cell shown

---

No. 2
Below is SrCu2As2 after structural relaxation, with properties calculated at the GGA-PBE level.

Lattice parameters (Å, degrees): 4.513 4.513 9.648 90.00 90.00 90.00
Element x y z (fractional)
Sr 0.000 0.000 0.000
Sr 0.500 0.500 0.500
Cu 0.000 0.000 0.366
Cu 0.000 0.000 0.634
Cu 0.500 0.500 0.134
Cu 0.500 0.500 0.866
As 0.000 0.500 0.250
As 0.000 0.500 0.750
As 0.500 0.000 0.250
As 0.500 0.000 0.750

Summary:
Symmetry ... I4/mmm (139)
ΔH_f (0 K) ... -36.8 kJ/mol of atoms
DOS(E_F) ... 4.2 states/eV per cell
Raw total energy ... -42.17 eV for the cell shown

---

No. 3
Below is SrCu2As after structural relaxation, with properties calculated at the GGA-PBE level.

Lattice parameters (Å, degrees): 4.601 4.258 4.679 90.00 94.89 90.00
Element x y z (fractional)
Sr 0.000 0.000 0.000
Cu 0.501 0.000 0.518
Cu 0.552 0.500 0.266
As 0.451 0.500 0.761

Summary:
Symmetry ... Pm (6)
ΔH_f (0 K) ... -30.0 kJ/mol of atoms
DOS(E_F) ... 1.3 states/eV per cell
Raw total energy ... -15.77 eV for the cell shown

---

No. 4
Below is SrCu2As after structural relaxation, with properties calculated at the GGA-PBE level.

Lattice parameters (Å, degrees): 4.322 4.322 4.307 90.00 90.00 90.00
Element x y z (fractional)
Sr 0.000 0.000 0.000
Cu 0.000 0.500 0.500
Cu 0.500 0.000 0.500
As 0.500 0.500 0.000

Summary:
Symmetry ... P4/mmm (123)
ΔH_f (0 K) ... 3.4 kJ/mol of atoms
DOS(E_F) ... 1.9 states/eV per cell
Raw total energy ... -14.38 eV for the cell shown

---

No. 5
Below is SrCuAs2 after structural relaxation, with properties calculated at the GGA-PBE level.

Lattice parameters (Å, degrees): 4.501 3.960 5.546 90.00 90.24 90.00
Element x y z (fractional)
Sr 0.000 0.000 0.000
Cu 0.500 0.000 0.500
As 0.497 0.500 0.752
As 0.503 0.500 0.248

Summary:
Symmetry ... P2/m (10)
ΔH_f (0 K) ... -51.1 kJ/mol of atoms
DOS(E_F) ... 0.9 states/eV per cell
Raw total energy ... -17.20 eV for the cell shown

---

No. 6
Below is SrCu4As2 after structural relaxation, with properties calculated at the GGA-PBE level.

Lattice parameters (Å, degrees): 8.265 8.265 8.265 29.41 29.41 29.41
Element x y z (fractional)
Sr 0.000 0.000 0.000
Cu 0.145 0.145 0.145
Cu 0.441 0.441 0.441
Cu 0.559 0.559 0.559
Cu 0.855 0.855 0.855
As 0.249 0.249 0.249
As 0.751 0.751 0.751

Summary:
Energy relative to the lowest polymorph listed for this composition ... 0.0000 eV per atom
Symmetry ... R-3m (166)
ΔH_f (0 K) ... -33.3 kJ/mol of atoms
DOS(E_F) ... 2.2 states/eV per cell
Raw total energy ... -29.78 eV for the cell shown

---

No. 7
Below is SrCu6As4 after structural relaxation, with properties calculated at the GGA-PBE level.

Lattice parameters (Å, degrees): 6.422 6.422 6.422 117.93 117.93 93.63
Element x y z (fractional)
Sr 0.000 0.000 0.000
Cu 0.000 0.500 0.500
Cu 0.241 0.241 0.696
Cu 0.455 0.759 0.000
Cu 0.500 0.000 0.500
Cu 0.545 0.545 0.304
Cu 0.759 0.455 0.000
As 0.125 0.545 0.000
As 0.455 0.455 0.581
As 0.545 0.125 0.000
As 0.875 0.875 0.419

Summary:
Symmetry ... I-42m (121)
ΔH_f (0 K) ... -10.8 kJ/mol of atoms
DOS(E_F) ... 5.3 states/eV per cell
Raw total energy ... -46.08 eV for the cell shown

---

No. 8
Below is SrCuAs after structural relaxation, with properties calculated at the GGA-PBE level.

Lattice parameters (Å, degrees): 6.175 6.176 7.037 90.00 90.01 90.00
Element x y z (fractional)
Sr 0.000 0.000 0.000
Sr 0.000 0.500 0.373
Sr 0.500 0.000 0.373
Sr 0.500 0.500 0.000
Cu 0.251 0.249 0.686
Cu 0.251 0.751 0.686
Cu 0.751 0.251 0.686
Cu 0.751 0.749 0.686
As 0.000 0.000 0.480
As 0.000 0.500 0.893
As 0.500 0.000 0.893
As 0.500 0.500 0.480

Summary:
Symmetry ... Cm (8)
ΔH_f (0 K) ... -66.5 kJ/mol of atoms
DOS(E_F) ... 0.2 states/eV per cell
Raw total energy ... -49.98 eV for the cell shown

---

No. 9
Below is SrCuAs after structural relaxation, with properties calculated at the GGA-PBE level.

Lattice parameters (Å, degrees): 4.346 6.060 6.371 92.77 90.35 111.00
Element x y z (fractional)
Sr 0.139 0.284 0.247
Sr 0.861 0.716 0.753
Cu 0.418 0.840 0.342
Cu 0.582 0.160 0.658
As 0.145 0.284 0.748
As 0.855 0.716 0.252

Summary:
Symmetry ... P-1 (2)
ΔH_f (0 K) ... -60.6 kJ/mol of atoms
DOS(E_F) ... 0.2 states/eV per cell
Raw total energy ... -24.62 eV for the cell shown

---

No. 10
Below is SrCu5As2 after structural relaxation, with properties calculated at the GGA-PBE level.

Lattice parameters (Å, degrees): 4.087 6.879 9.467 90.00 90.00 90.00
Element x y z (fractional)
Sr 0.000 0.000 0.000
Sr 0.500 0.500 0.500
Cu 0.000 0.177 0.361
Cu 0.000 0.177 0.639
Cu 0.000 0.500 0.000
Cu 0.000 0.823 0.361
Cu 0.000 0.823 0.639
Cu 0.500 0.000 0.500
Cu 0.500 0.323 0.139
Cu 0.500 0.323 0.861
Cu 0.500 0.677 0.139
Cu 0.500 0.677 0.861
As 0.000 0.500 0.252
As 0.000 0.500 0.748
As 0.500 0.000 0.248
As 0.500 0.000 0.752

Summary:
Symmetry ... Immm (71)
ΔH_f (0 K) ... -23.8 kJ/mol of atoms
DOS(E_F) ... 4.0 states/eV per cell
Raw total energy ... -66.88 eV for the cell shown

---

No. 11
Below is SrCu2As after structural relaxation, with properties calculated at the GGA-PBE level.

Lattice parameters (Å, degrees): 4.358 5.830 6.952 90.00 90.00 90.00
Element x y z (fractional)
Sr 0.000 0.000 0.000
Sr 0.500 0.500 0.500
Cu 0.000 0.000 0.527
Cu 0.000 0.500 0.830
Cu 0.500 0.000 0.330
Cu 0.500 0.500 0.027
As 0.000 0.500 0.179
As 0.500 0.000 0.679

Summary:
Symmetry ... Imm2 (44)
ΔH_f (0 K) ... -14.4 kJ/mol of atoms
DOS(E_F) ... 5.3 states/eV per cell
Raw total energy ... -30.24 eV for the cell shown

---

No. 12
Below is SrCu2As2 after structural relaxation, with properties calculated at the GGA-PBE level.

Lattice parameters (Å, degrees): 7.682 7.682 3.168 90.00 90.00 90.00
Element x y z (fractional)
Sr 0.000 0.000 0.000
Sr 0.500 0.500 0.000
Cu 0.113 0.387 0.000
Cu 0.387 0.887 0.000
Cu 0.613 0.113 0.000
Cu 0.887 0.613 0.000
As 0.177 0.677 0.500
As 0.323 0.177 0.500
As 0.677 0.823 0.500
As 0.823 0.323 0.500

Summary:
Symmetry ... P4/mbm (127)
ΔH_f (0 K) ... -15.8 kJ/mol of atoms
DOS(E_F) ... 5.6 states/eV per cell
Raw total energy ... -39.98 eV for the cell shown

---

No. 13
Below is SrCuAs2 after structural relaxation, with properties calculated at the GGA-PBE level.

Lattice parameters (Å, degrees): 4.252 6.690 6.730 90.00 90.00 90.00
Element x y z (fractional)
Sr 0.000 0.000 0.000
Sr 0.500 0.500 0.000
Cu 0.000 0.000 0.500
Cu 0.500 0.500 0.500
As 0.000 0.500 0.314
As 0.000 0.500 0.686
As 0.500 0.000 0.314
As 0.500 0.000 0.686

Summary:
Symmetry ... Cmmm (65)
ΔH_f (0 K) ... -23.9 kJ/mol of atoms
DOS(E_F) ... 2.8 states/eV per cell
Raw total energy ... -32.14 eV for the cell shown

---

No. 14
Below is Sr2Cu2As3 after structural relaxation, with properties calculated at the GGA-PBE level.

Lattice parameters (Å, degrees): 10.573 10.573 6.837 90.00 90.00 155.97
Element x y z (fractional)
Sr 0.043 0.957 0.750
Sr 0.167 0.833 0.250
Sr 0.833 0.167 0.750
Sr 0.957 0.043 0.250
Cu 0.310 0.690 0.067
Cu 0.310 0.690 0.433
Cu 0.690 0.310 0.567
Cu 0.690 0.310 0.933
As 0.221 0.779 0.750
As 0.421 0.579 0.569
As 0.421 0.579 0.931
As 0.579 0.421 0.069
As 0.579 0.421 0.431
As 0.779 0.221 0.250

Summary:
Symmetry ... Cmcm (63)
ΔH_f (0 K) ... -57.5 kJ/mol of atoms
DOS(E_F) ... 5.2 states/eV per cell
Raw total energy ... -59.35 eV for the cell shown

---

No. 15
Below is SrCuAs after structural relaxation, with properties calculated at the GGA-PBE level.

Lattice parameters (Å, degrees): 6.047 6.047 8.191 90.00 111.51 90.00
Element x y z (fractional)
Sr 0.106 0.000 0.209
Sr 0.394 0.500 0.791
Sr 0.606 0.500 0.209
Sr 0.894 0.000 0.791
Cu 0.173 0.500 0.345
Cu 0.327 0.000 0.655
Cu 0.673 0.000 0.345
Cu 0.827 0.500 0.655
As 0.000 0.250 0.500
As 0.000 0.501 0.000
As 0.500 0.001 0.000
As 0.500 0.750 0.500

Summary:
Symmetry ... C2 (5)
ΔH_f (0 K) ... -56.3 kJ/mol of atoms
DOS(E_F) ... 4.3 states/eV per cell
Raw total energy ... -48.71 eV for the cell shown

---

No. 16
Below is Sr2Cu12As7 after structural relaxation, with properties calculated at the GGA-PBE level.

Lattice parameters (Å, degrees): 9.785 9.785 4.169 90.00 90.00 120.00
Element x y z (fractional)
Sr 0.333 0.667 0.245
Sr 0.667 0.333 0.755
Cu 0.053 0.422 0.772
Cu 0.119 0.253 0.192
Cu 0.134 0.881 0.192
Cu 0.253 0.134 0.808
Cu 0.369 0.947 0.772
Cu 0.422 0.369 0.228
Cu 0.578 0.631 0.772
Cu 0.631 0.053 0.228
Cu 0.747 0.866 0.192
Cu 0.866 0.119 0.808
Cu 0.881 0.747 0.808
Cu 0.947 0.578 0.228
As 0.000 0.000 0.500
As 0.105 0.698 0.729
As 0.302 0.406 0.729
As 0.406 0.105 0.271
As 0.594 0.895 0.729
As 0.698 0.594 0.271
As 0.895 0.302 0.271

Summary:
Symmetry ... P-3 (147)
ΔH_f (0 K) ... -20.9 kJ/mol of atoms
DOS(E_F) ... 8.8 states/eV per cell
Raw total energy ... -89.60 eV for the cell shown

---

No. 17
Below is Sr2Cu2As after structural relaxation, with properties calculated at the GGA-PBE level.

Lattice parameters (Å, degrees): 6.001 6.001 7.126 90.00 90.00 90.00
Element x y z (fractional)
Sr 0.000 0.500 0.250
Sr 0.000 0.500 0.750
Sr 0.500 0.000 0.250
Sr 0.500 0.000 0.750
Cu 0.000 0.000 0.161
Cu 0.000 0.000 0.839
Cu 0.500 0.500 0.339
Cu 0.500 0.500 0.661
As 0.000 0.000 0.500
As 0.500 0.500 0.000

Summary:
Energy relative to the lowest polymorph listed for this composition ... 0.0765 eV per atom
Symmetry ... I4/mmm (139)
ΔH_f (0 K) ... -22.8 kJ/mol of atoms
DOS(E_F) ... 7.8 states/eV per cell
Raw total energy ... -34.77 eV for the cell shown

---

No. 18
Below is SrCuAs2 after structural relaxation, with properties calculated at the GGA-PBE level.

Lattice parameters (Å, degrees): 4.466 4.466 15.894 90.00 90.00 120.00
Element x y z (fractional)
Sr 0.000 0.000 0.000
Sr 0.333 0.667 0.667
Sr 0.667 0.333 0.333
Cu 0.000 0.000 0.500
Cu 0.333 0.667 0.167
Cu 0.667 0.333 0.833
As 0.000 0.000 0.203
As 0.000 0.000 0.797
As 0.333 0.667 0.464
As 0.333 0.667 0.869
As 0.667 0.333 0.131
As 0.667 0.333 0.536

Summary:
Symmetry ... R-3m (166)
ΔH_f (0 K) ... -35.7 kJ/mol of atoms
DOS(E_F) ... 4.8 states/eV per cell
Raw total energy ... -49.67 eV for the cell shown

---

No. 19
Below is SrCuAs after structural relaxation, with properties calculated at the GGA-PBE level.

Lattice parameters (Å, degrees): 4.280 4.280 8.626 90.00 90.00 120.00
Element x y z (fractional)
Sr 0.000 0.000 0.000
Sr 0.000 0.000 0.500
Cu 0.333 0.667 0.250
Cu 0.667 0.333 0.750
As 0.333 0.667 0.750
As 0.667 0.333 0.250

Summary:
Symmetry ... P6_3/mmc (194)
ΔH_f (0 K) ... -78.4 kJ/mol of atoms
DOS(E_F) ... 1.0 states/eV per cell
Raw total energy ... -25.73 eV for the cell shown

---

No. 20
Below is SrCu2As after structural relaxation, with properties calculated at the GGA-PBE level.

Lattice parameters (Å, degrees): 4.776 4.787 6.880 90.00 90.00 90.00
Element x y z (fractional)
Sr 0.000 0.000 0.000
Sr 0.500 0.500 0.000
Cu 0.000 0.000 0.505
Cu 0.000 0.500 0.681
Cu 0.500 0.000 0.681
Cu 0.500 0.500 0.505
As 0.000 0.500 0.329
As 0.500 0.000 0.329

Summary:
Symmetry ... Cmm2 (35)
ΔH_f (0 K) ... -3.5 kJ/mol of atoms
DOS(E_F) ... 3.8 states/eV per cell
Raw total energy ... -29.34 eV for the cell shown